# 1
Material: Cr2PBr
Method: DFT, PBE
State: relaxed

Unit cell a=3.4150 b=3.4150 c=24.6328 alpha=90.00 beta=90.00 gamma=120.00
Space group R3m (No. 160, hexagonal axes)
Unique sites:
Cr  0.0000  0.0000  0.0000 (multiplicity 3)
Cr  0.0000  0.0000  0.2556 (multiplicity 3)
P  0.0000  0.0000  0.7115 (multiplicity 3)
Br  0.0000  0.0000  0.5200 (multiplicity 3)

## Properties
M_tot   0.3763 μB/atom
Excess energy over the best structure of this formula in the dataset   375 meV/atom

---

# 2
Material: CrPBr3
Method: DFT, PBE
State: relaxed

Unit cell a=5.162 b=5.162 c=5.162 alpha=90.00 beta=90.00 gamma=90.00
Space group Pm-3m (No. 221)
Unique sites:
Cr  0.000  0.000  0.000 (multiplicity 1)
P  0.500  0.500  0.500 (multiplicity 1)
Br  0.000  0.500  0.500 (multiplicity 3)

## Properties
M_tot   0.9961 μB/atom
Excess energy over the best structure of this formula in the dataset   0 meV/atom

---

# 3
Material: Cr2PBr
Method: DFT, PBE
State: relaxed

Unit cell a=3.583 b=3.583 c=13.201 alpha=90.00 beta=90.00 gamma=90.00
Space group I-4m2 (No. 119)
Unique sites:
Cr  0.000  0.000  0.000 (multiplicity 2)
Cr  0.000  0.500  0.250 (multiplicity 2)
P  0.000  0.500  0.750 (multiplicity 2)
Br  0.000  0.000  0.500 (multiplicity 2)

## Properties
M_tot   1.9827 μB/atom
Excess energy over the best structure of this formula in the dataset   538 meV/atom

---

# 4
Material: Cr2PBr
Method: DFT, PBE
State: relaxed

Unit cell a=7.384 b=7.010 c=3.523 alpha=90.00 beta=118.10 gamma=90.00
Space group C2/m (No. 12)
Unique sites:
Cr  0.250  0.250  0.000 (multiplicity 4)
P  0.000  0.000  0.500 (multiplicity 2)
Br  0.000  0.500  0.500 (multiplicity 2)

## Properties
M_tot   1.9967 μB/atom
Excess energy over the best structure of this formula in the dataset   512 meV/atom

---

# 5
Material: Cr2PBr
Method: DFT, PBE
State: relaxed

Unit cell a=3.201 b=3.201 c=6.849 alpha=90.00 beta=90.00 gamma=90.00
Space group P4/mmm (No. 123)
Unique sites:
Cr  0.000  0.000  0.197 (multiplicity 2)
P  0.500  0.500  0.000 (multiplicity 1)
Br  0.500  0.500  0.500 (multiplicity 1)

## Properties
M_tot   1.8611 μB/atom
Excess energy over the best structure of this formula in the dataset   391 meV/atom

---

# 6
Material: CrP4Br
Method: DFT, PBE
State: relaxed

Unit cell a=8.287 b=8.287 c=8.287 alpha=90.00 beta=90.00 gamma=90.00
Space group F-43m (No. 216)
Unique sites:
Cr  0.000  0.000  0.000 (multiplicity 4)
P  0.155  0.155  0.655 (multiplicity 16)
Br  0.250  0.250  0.250 (multiplicity 4)

## Properties
M_tot   0.8333 μB/atom

---

# 7
Material: Cr2PBr
Method: DFT, PBE
State: relaxed

Unit cell a=6.690 b=6.690 c=6.690 alpha=90.00 beta=90.00 gamma=90.00
Space group F-43m (No. 216)
Unique sites:
Cr  0.000  0.000  0.000 (multiplicity 4)
Cr  0.250  0.250  0.250 (multiplicity 4)
P  0.000  0.000  0.500 (multiplicity 4)
Br  0.250  0.250  0.750 (multiplicity 4)

## Properties
M_tot   2.0003 μB/atom
Excess energy over the best structure of this formula in the dataset   1105 meV/atom

---

# 8
Material: Cr2PBr
Method: DFT, PBE
State: relaxed

Unit cell a=6.454 b=6.454 c=8.729 alpha=90.00 beta=90.00 gamma=90.00
Space group I-42d (No. 122)
Unique sites:
Cr  0.205  0.250  0.125 (multiplicity 8)
P  0.000  0.000  0.000 (multiplicity 4)
Br  0.000  0.000  0.500 (multiplicity 4)

## Properties
M_tot   2.0000 μB/atom
Excess energy over the best structure of this formula in the dataset   249 meV/atom

---

# 9
Material: CrP2Br
Method: DFT, PBE
State: relaxed

Unit cell a=6.264 b=6.264 c=6.264 alpha=90.00 beta=90.00 gamma=90.00
Space group Fm-3m (No. 225)
Unique sites:
Cr  0.000  0.000  0.000 (multiplicity 4)
P  0.250  0.250  0.250 (multiplicity 8)
Br  0.000  0.000  0.500 (multiplicity 4)

## Properties
M_tot   0.0001 μB/atom
Excess energy over the best structure of this formula in the dataset   1253 meV/atom

---

# 10
Material: CrP2Br
Method: DFT, PBE
State: relaxed

Unit cell a=3.037 b=4.454 c=10.355 alpha=90.00 beta=90.00 gamma=90.00
Space group Immm (No. 71)
Unique sites:
Cr  0.000  0.000  0.000 (multiplicity 2)
P  0.000  0.500  0.294 (multiplicity 4)
Br  0.000  0.000  0.500 (multiplicity 2)

## Properties
M_tot   0.7676 μB/atom
Excess energy over the best structure of this formula in the dataset   646 meV/atom

---

# 11
Material: CrP2Br
Method: DFT, PBE
State: relaxed

Unit cell a=3.698 b=3.698 c=5.402 alpha=90.00 beta=90.00 gamma=90.00
Space group P4/mmm (No. 123)
Unique sites:
Cr  0.000  0.000  0.000 (multiplicity 1)
P  0.000  0.000  0.500 (multiplicity 1)
P  0.500  0.500  0.500 (multiplicity 1)
Br  0.500  0.500  0.000 (multiplicity 1)

## Properties
M_tot   1.0483 μB/atom
Excess energy over the best structure of this formula in the dataset   531 meV/atom

---

# 12
Material: Cr4PBr
Method: DFT, PBE
State: relaxed

Unit cell a=6.862 b=6.862 c=6.862 alpha=90.00 beta=90.00 gamma=90.00
Space group F-43m (No. 216)
Unique sites:
Cr  0.124  0.124  0.124 (multiplicity 16)
P  0.000  0.000  0.500 (multiplicity 4)
Br  0.250  0.250  0.750 (multiplicity 4)

## Properties
M_tot   0.0000 μB/atom

---

# 13
Material: CrPBr3
Method: DFT, PBE
State: relaxed

Unit cell a=4.879 b=4.879 c=4.879 alpha=90.00 beta=90.00 gamma=90.00
Space group Pm-3m (No. 221)
Unique sites:
Cr  0.000  0.000  0.000 (multiplicity 1)
P  0.500  0.500  0.500 (multiplicity 1)
Br  0.000  0.000  0.500 (multiplicity 3)

## Properties
M_tot   0.0007 μB/atom
Excess energy over the best structure of this formula in the dataset   287 meV/atom

---

# 14
Material: CrP2Br
Method: DFT, PBE
State: relaxed

Unit cell a=3.350 b=8.369 c=8.561 alpha=90.00 beta=90.00 gamma=90.00
Space group Imm2 (No. 44)
Unique sites:
Cr  0.000  0.000  0.000 (multiplicity 2)
P  0.000  0.000  0.631 (multiplicity 2)
P  0.000  0.500  0.288 (multiplicity 2)
Br  0.000  0.500  0.718 (multiplicity 2)

## Properties
M_tot   1.0248 μB/atom
Excess energy over the best structure of this formula in the dataset   342 meV/atom

---

# 15
Material: CrP2Br
Method: DFT, PBE
State: relaxed

Unit cell a=3.536 b=3.536 c=6.584 alpha=90.00 beta=90.00 gamma=90.00
Space group P4/mmm (No. 123)
Unique sites:
Cr  0.000  0.000  0.000 (multiplicity 1)
P  0.000  0.500  0.500 (multiplicity 2)
Br  0.500  0.500  0.000 (multiplicity 1)

## Properties
M_tot   1.0315 μB/atom
Excess energy over the best structure of this formula in the dataset   620 meV/atom

---

# 16
Material: Cr2PBr
Method: DFT, PBE
State: relaxed

Unit cell a=3.569 b=7.079 c=7.198 alpha=90.00 beta=90.00 gamma=90.00
Space group Immm (No. 71)
Unique sites:
Cr  0.000  0.000  0.210 (multiplicity 4)
P  0.000  0.500  0.500 (multiplicity 2)
Br  0.000  0.500  0.000 (multiplicity 2)

## Properties
M_tot   1.9351 μB/atom
Excess energy over the best structure of this formula in the dataset   368 meV/atom

---

# 17
Material: CrP2Br
Method: DFT, PBE
State: relaxed

Unit cell a=2.940 b=2.940 c=8.616 alpha=90.00 beta=90.00 gamma=90.00
Space group P4/mmm (No. 123)
Unique sites:
Cr  0.000  0.000  0.000 (multiplicity 1)
P  0.500  0.500  0.143 (multiplicity 2)
Br  0.000  0.000  0.500 (multiplicity 1)

## Properties
M_tot   0.0044 μB/atom
Excess energy over the best structure of this formula in the dataset   255 meV/atom

---

# 18
Material: CrPBr4
Method: DFT, PBE
State: relaxed

Unit cell a=8.819 b=8.819 c=8.819 alpha=90.00 beta=90.00 gamma=90.00
Space group F-43m (No. 216)
Unique sites:
Cr  0.000  0.000  0.000 (multiplicity 4)
P  0.250  0.250  0.750 (multiplicity 4)
Br  0.125  0.125  0.375 (multiplicity 16)

## Properties
M_tot   0.3891 μB/atom

---

# 19
Material: CrP2Br
Method: DFT, PBE
State: relaxed

Unit cell a=3.546 b=3.546 c=12.758 alpha=90.00 beta=90.00 gamma=90.00
Space group I4/mmm (No. 139)
Unique sites:
Cr  0.000  0.000  0.000 (multiplicity 2)
P  0.000  0.500  0.250 (multiplicity 4)
Br  0.000  0.000  0.500 (multiplicity 2)

## Properties
M_tot   0.9935 μB/atom
Excess energy over the best structure of this formula in the dataset   629 meV/atom

---

# 20
Material: CrP2Br
Method: DFT, PBE
State: relaxed

Unit cell a=3.1679 b=3.1679 c=22.7397 alpha=90.00 beta=90.00 gamma=120.00
Space group R-3m (No. 166, hexagonal axes)
Unique sites:
Cr  0.0000  0.0000  0.0000 (multiplicity 3)
P  0.0000  0.0000  0.2697 (multiplicity 6)
Br  0.0000  0.0000  0.5000 (multiplicity 3)

## Properties
M_tot   0.0000 μB/atom
Excess energy over the best structure of this formula in the dataset   294 meV/atom

---

Electronic total energy, record by record: -6.37 -3.64 -6.21 -6.24 -6.36 -5.01 -5.64 -6.50 -4.43 -5.03 -5.15 -6.75 -3.35 -5.34 -5.06 -6.38 -5.42 -2.50 -5.05 -5.39 eV per atom
Energy relative to the elements, uncorrected, record by record: 0.2075 0.3690 0.3703 0.3446 0.2239 0.4765 0.9380 0.0814 1.1026 0.4951 0.3807 0.8489 0.6560 0.1919 0.4697 0.2007 0.1048 1.1191 0.4786 0.1434 eV per atom
DOS(E_F), record by record: 0.92 0.38 0.33 0.41 0.58 0.38 0.60 0.09 1.38 0.49 0.56 1.05 1.59 0.39 0.48 0.44 0.87 1.48 0.70 0.28 states/eV/atom